Entry 1:
VASP calculation (PBE-GGA) on a relaxed structure of PtClF. Values from VASP.

```
&SYSTEM
  ibrav = 0, nat = 6, ntyp = 3
/
ATOMIC_SPECIES
Pt 195.08 Pt.upf
F 19.00 F.upf
Cl 35.45 Cl.upf
CELL_PARAMETERS angstrom
5.604 -0.014 -0.024
0.030 6.933 -0.766
0.010 -1.247 3.085
ATOMIC_POSITIONS angstrom
Pt 4.661 2.189 2.507
Pt 1.860 2.344 2.578
F 1.852 0.512 1.838
F 4.659 5.265 0.166
Cl 1.862 4.421 1.624
Cl 4.650 1.357 0.377
```

Calculated values
formation energy without anion corrections	-1.22	eV per formula unit
VASP energy	-21.96	eV per cell
total magnetization	0.00	μB/f.u.
offset from the most stable computed form	150	meV/atom
symmetry	P-1 (2)

---

Entry 2:
VASP calculation (PBE-GGA) on a relaxed structure of PtCl12F6. Values from VASP.

```
&SYSTEM
  ibrav = 0, nat = 19, ntyp = 3
/
ATOMIC_SPECIES
Cl 35.45 Cl.upf
F 19.00 F.upf
Pt 195.08 Pt.upf
CELL_PARAMETERS angstrom
-8.546 0.287 0.022
1.918 -6.383 5.314
2.394 7.043 4.197
ATOMIC_POSITIONS angstrom
Cl -4.869 5.415 4.160
Cl -0.015 -4.947 5.642
Cl -3.631 -0.785 3.270
Cl 2.612 0.527 7.957
Cl -3.819 2.303 3.808
Cl -2.789 -2.127 4.698
Cl 1.524 5.082 5.333
Cl 0.289 1.232 5.721
Cl -1.720 2.683 3.784
Cl 0.048 -0.719 4.899
Cl -7.202 1.143 1.856
Cl -5.313 -4.243 4.918
F -5.478 -0.397 6.851
F -3.213 3.265 7.489
F -2.148 -3.455 5.882
F -1.515 -0.579 8.619
F -5.702 2.145 3.755
F 0.682 2.913 6.502
Pt -0.079 0.019 0.179
```

Calculated values
formation energy without anion corrections	-4.43	eV per formula unit
VASP energy	-43.85	eV per cell
total magnetization	2.15	μB/f.u.
symmetry	P1 (1)

---

Entry 3:
VASP calculation (PBE-GGA) on a relaxed structure of PtClF. Values from VASP.

```
&SYSTEM
  ibrav = 0, nat = 12, ntyp = 3
/
ATOMIC_SPECIES
F 19.00 F.upf
Cl 35.45 Cl.upf
Pt 195.08 Pt.upf
CELL_PARAMETERS angstrom
-0.225 3.942 0.752
-5.486 1.082 -7.318
-5.705 -1.111 4.113
ATOMIC_POSITIONS angstrom
F -4.359 1.830 -5.530
F -6.857 1.205 -3.000
F -7.058 2.084 3.076
F -4.560 2.709 0.547
Cl -3.521 1.190 -1.921
Cl -6.784 3.623 -4.911
Cl -7.896 2.724 -0.533
Cl -4.633 0.291 2.457
Pt -4.116 0.740 0.258
Pt -4.486 3.736 -4.818
Pt -7.300 3.174 -2.711
Pt -6.931 0.177 2.364
```

Calculated values
formation energy without anion corrections	-1.67	eV per formula unit
VASP energy	-45.71	eV per cell
total magnetization	0.00	μB/f.u.
offset from the most stable computed form	0	meV/atom
symmetry	Pnma (62)

---

Entry 4:
VASP calculation (PBE-GGA) on a relaxed structure of PtCl2F2. Values from VASP.

```
&SYSTEM
  ibrav = 0, nat = 10, ntyp = 3
/
ATOMIC_SPECIES
Cl 35.45 Cl.upf
F 19.00 F.upf
Pt 195.08 Pt.upf
CELL_PARAMETERS angstrom
-5.240 0.551 1.694
-1.675 -3.317 -4.102
0.745 -5.395 4.059
ATOMIC_POSITIONS angstrom
Cl -4.379 -5.244 -0.484
Cl -1.350 -4.710 -0.330
Cl -4.820 -3.451 1.981
Cl -1.791 -2.917 2.135
F -1.465 -0.977 -1.030
F -3.077 -2.554 -2.831
F -5.450 -1.789 -1.378
F -3.838 -0.212 0.423
Pt -3.458 -1.383 -1.204
Pt 0.000 0.000 0.000
```

Calculated values
formation energy without anion corrections	-2.11	eV per formula unit
VASP energy	-31.17	eV per cell
total magnetization	0.00	μB/f.u.
offset from the most stable computed form	0	meV/atom
symmetry	P4/mbm (127)

---

Entry 5:
VASP calculation (PBE-GGA) on a relaxed structure of PtClF3. Values from VASP.

```
&SYSTEM
  ibrav = 0, nat = 5, ntyp = 3
/
ATOMIC_SPECIES
F 19.00 F.upf
Cl 35.45 Cl.upf
Pt 195.08 Pt.upf
CELL_PARAMETERS angstrom
4.311 0.000 0.000
0.000 4.311 0.000
0.000 0.000 4.311
ATOMIC_POSITIONS angstrom
F 0.000 2.156 0.000
F 2.156 0.000 0.000
F 0.000 0.000 2.156
Cl 0.000 0.000 0.000
Pt 2.156 2.156 2.156
```

Calculated values
formation energy without anion corrections	2.58	eV per formula unit
VASP energy	-10.92	eV per cell
total magnetization	1.13	μB/f.u.
offset from the most stable computed form	1458	meV/atom
symmetry	Pm-3m (221)

---

Entry 6:
VASP calculation (PBE-GGA) on a relaxed structure of Pt2ClF. Values from VASP.

```
&SYSTEM
  ibrav = 0, nat = 8, ntyp = 3
/
ATOMIC_SPECIES
Cl 35.45 Cl.upf
Pt 195.08 Pt.upf
F 19.00 F.upf
CELL_PARAMETERS angstrom
6.668 0.000 0.000
0.000 6.668 0.000
3.334 3.334 2.810
ATOMIC_POSITIONS angstrom
Cl 6.668 3.334 1.405
Cl 0.000 0.000 0.000
Pt 8.335 8.283 2.108
Pt 5.001 5.052 2.108
Pt 4.950 1.667 0.703
Pt 1.718 5.001 0.703
F 3.334 6.668 1.405
F 3.334 3.334 0.000
```

Calculated values
formation energy without anion corrections	1.45	eV per formula unit
VASP energy	-28.69	eV per cell
total magnetization	0.00	μB/f.u.
offset from the most stable computed form	0	meV/atom
symmetry	I-42d (122)